# 1
Entry from Alexandria: an optimized crystal structure of PaAu2Br8 (PBE-GGA).

```
PaAu2Br8
1.0
6.2369 -4.7540 0.0000
6.2369 4.7540 0.0000
-0.9168 0.0000 7.3955
Pa Au Br
1 2 8
Cartesian
0.0000 0.0000 0.0000
2.1770 0.0000 5.7660
9.3801 0.0000 1.6295
4.8166 2.7674 1.3078
1.7828 0.0000 1.9968
6.7405 2.7674 6.0876
4.5332 0.0000 5.2282
7.0239 0.0000 2.1673
4.8166 -2.7674 1.3078
9.7743 0.0000 5.3986
6.7405 -2.7674 6.0876
```

Values from the calculation:
Energy relative to the elements, uncorrected (eV/f.u.): -8.11
Size of the total moment (μB/f.u.): 0.0
Uncorrected energy (eV per atom): -3.413

---

# 2
Entry from Alexandria: an optimized crystal structure of PaAuBr (PBE-GGA).

```
PaAuBr
1.0
5.7084 0.0000 0.0000
0.5438 5.8970 0.0000
0.9204 2.6931 5.2532
Pa Au Br
2 2 2
Cartesian
0.0000 0.0000 0.0000
1.6973 3.9792 3.0950
0.6352 2.9760 0.4822
1.2991 6.8962 2.7267
3.3322 4.8894 0.7218
4.5806 4.3015 3.9114
```

Values from the calculation:
Energy relative to the elements, uncorrected (eV/f.u.): -1.12
Size of the total moment (μB/f.u.): 0.0
Uncorrected energy (eV per atom): -5.190